Compound: PmDy2Er4Tm
Source: Alexandria
Functional: PBE-GGA
Structure: relaxed

Values from the calculation:
Total energy ... -33.1 eV per formula unit

Cell: 9.443 9.443 6.747 Å, 110.93 110.93 88.84°
Positions (direct):
Pm 0.000 0.500 0.000
Pm 0.500 0.000 0.500
Dy 0.000 0.000 0.000
Dy 0.000 0.000 0.500
Dy 0.000 0.500 0.500
Dy 0.500 0.000 0.000
Er 0.250 0.253 0.503
Er 0.252 0.748 0.501
Er 0.252 0.748 0.999
Er 0.253 0.250 0.003
Er 0.747 0.750 0.997
Er 0.748 0.252 0.001
Er 0.748 0.252 0.499
Er 0.750 0.747 0.497
Tm 0.500 0.500 0.000
Tm 0.500 0.500 0.500



Compound: MnInFe2
Source: Alexandria
Functional: PBE-GGA
Structure: relaxed

Values from the calculation:
Total energy ... -28.2 eV per formula unit

Cell: 3.057 3.057 6.140 Å, 90.00 90.00 90.00°
Positions (direct):
Mn 0.000 0.000 0.000
In 0.500 0.500 0.704
Fe 0.000 0.000 0.423
Fe 0.500 0.500 0.222



Compound: Zr2Ni2Sn
Source: Alexandria
Functional: PBE-GGA
Structure: relaxed

Values from the calculation:
Total energy ... -33.5 eV per formula unit

Cell: 7.695 7.695 3.172 Å, 90.00 90.00 90.00°
Positions (direct):
Zr 0.158 0.342 0.000
Zr 0.342 0.842 0.000
Zr 0.658 0.158 0.000
Zr 0.842 0.658 0.000
Ni 0.126 0.626 0.500
Ni 0.374 0.126 0.500
Ni 0.626 0.874 0.500
Ni 0.874 0.374 0.500
Sn 0.000 0.000 0.000
Sn 0.500 0.500 0.000



Compound: Pm2TmOs
Source: Alexandria
Functional: PBE-GGA
Structure: relaxed

Values from the calculation:
Total energy ... -25.9 eV per formula unit
Distance to the lowest polymorph of the same formula ... 0.061 eV per formula unit

Cell: 4.067 11.908 9.152 Å, 90.00 90.00 90.00°
Positions (direct):
Pm 0.000 0.141 0.067
Pm 0.000 0.141 0.433
Pm 0.000 0.859 0.567
Pm 0.000 0.859 0.933
Pm 0.500 0.359 0.567
Pm 0.500 0.359 0.933
Pm 0.500 0.641 0.067
Pm 0.500 0.641 0.433
Tm 0.000 0.421 0.250
Tm 0.000 0.579 0.750
Tm 0.500 0.079 0.750
Tm 0.500 0.921 0.250
Os 0.000 0.238 0.750
Os 0.000 0.762 0.250
Os 0.500 0.262 0.250
Os 0.500 0.738 0.750